Here is a relaxed HoEr2Pd crystal from the Alexandria database. Energies are from PBE.

Cell lengths 3.521, 3.521, 10.861 Å; angles 80.67, 80.67, 60.00 degrees
Each line ends with the local moment (μB).
Sites, in units of the cell vectors:
Pd: 0.500 0.500 0.500  0.00
Ho: 0.000 0.000 0.000  0.14
Er: 0.895 0.895 0.316  0.02
Er: 0.105 0.105 0.684  0.02

## Properties
Density of states at the Fermi level = 5.05 states/eV per cell
Theoretical density = 8.8 g/cm3
Total DFT energy (no corrections) = -0.35486 Ry/atom
Energy relative to the elements = -104 meV/atom